Record 1
The following is a PBE-GGA calculation of crystalline LiZnIn2Cl5 at its relaxed geometry, from the Alexandria database.

Lattice parameters (Å, degrees): 9.6924 9.6924 13.6285 90.00 90.00 157.22
Last column: nearest neighbours and their distance in Å.
Atoms (fractional coordinates):
Li 0.2144 0.7856 0.5000  5 Cl 2.44-2.68
Li 0.7856 0.2144 0.0000  5 Cl 2.44-2.68
Zn 0.4379 0.5621 0.9021  4 Cl 2.25-2.35
Zn 0.5621 0.4379 0.4021  4 Cl 2.25-2.35
In 0.1367 0.8633 0.1383  3 Cl 2.94-2.97
In 0.1381 0.8619 0.7871  6 Cl 3.20-3.24
In 0.8619 0.1381 0.2871  6 Cl 3.20-3.24
In 0.8633 0.1367 0.6383  3 Cl 2.94-2.97
Cl 0.0408 0.9592 0.4982  2 Zn 2.35
Cl 0.2910 0.7090 0.1226  2 Li 2.54
Cl 0.3198 0.6802 0.8705  1 Zn 2.28
Cl 0.3415 0.6585 0.4743  1 Li 2.44
Cl 0.4959 0.5041 0.2654  1 Zn 2.25
Cl 0.5041 0.4959 0.7654  1 Zn 2.25
Cl 0.6585 0.3415 0.9743  1 Li 2.44
Cl 0.6802 0.3198 0.3705  1 Zn 2.28
Cl 0.7090 0.2910 0.6226  2 Li 2.54
Cl 0.9592 0.0408 0.9982  2 Zn 2.35

## Properties
DFT total energy = -3.128 eV/atom

---

Record 2
The following is a PBE-GGA calculation of crystalline LiZrInCl6 at its relaxed geometry, from the Alexandria database.

Lattice parameters (Å, degrees): 6.6700 6.6700 13.8522 90.00 90.00 120.00
Last column: nearest neighbours and their distance in Å.
Atoms (fractional coordinates):
Li 0.3333 0.6667 0.2500  6 Cl 2.60
Li 0.6667 0.3333 0.7500  6 Cl 2.60
Zr 0.3333 0.6667 0.7500  6 Cl 2.50
Zr 0.6667 0.3333 0.2500  6 Cl 2.50
In 0.0000 0.0000 0.0000  6 Cl 3.21
In 0.0000 0.0000 0.5000  6 Cl 3.21
Cl 0.0117 0.3799 0.6459  1 Zr 2.50, 1 Li 2.60
Cl 0.0117 0.6317 0.8541  1 Zr 2.50, 1 Li 2.60
Cl 0.3683 0.3799 0.8541  1 Zr 2.50, 1 Li 2.60
Cl 0.3683 0.9883 0.6459  1 Zr 2.50, 1 Li 2.60
Cl 0.3799 0.0117 0.1459  1 Zr 2.50, 1 Li 2.60
Cl 0.3799 0.3683 0.3541  1 Zr 2.50, 1 Li 2.60
Cl 0.6201 0.6317 0.6459  1 Zr 2.50, 1 Li 2.60
Cl 0.6201 0.9883 0.8541  1 Zr 2.50, 1 Li 2.60
Cl 0.6317 0.0117 0.3541  1 Zr 2.50, 1 Li 2.60
Cl 0.6317 0.6201 0.1459  1 Zr 2.50, 1 Li 2.60
Cl 0.9883 0.3683 0.1459  1 Zr 2.50, 1 Li 2.60
Cl 0.9883 0.6201 0.3541  1 Zr 2.50, 1 Li 2.60

## Properties
DFT total energy = -4.303 eV/atom

---

Record 3
The following is a PBE-GGA calculation of crystalline MgIn2Cl at its relaxed geometry, from the Alexandria database.

Lattice parameters (Å, degrees): 5.3460 5.3460 5.3460 60.00 60.00 60.00
Last column: nearest neighbours and their distance in Å.
Atoms (fractional coordinates):
Mg 0.0000 0.0000 0.0000  8 In 3.27
In 0.2500 0.2500 0.2500  4 Cl 3.27, 4 Mg 3.27
In 0.7500 0.7500 0.7500  4 Cl 3.27, 4 Mg 3.27
Cl 0.5000 0.5000 0.5000  8 In 3.27

## Properties
DFT total energy = -2.351 eV/atom

---

Record 4
The following is a PBE-GGA calculation of crystalline MgInCl6 at its relaxed geometry, from the Alexandria database.

Lattice parameters (Å, degrees): 6.3627 6.3629 6.7212 61.88 90.00 60.01
Last column: nearest neighbours and their distance in Å.
Atoms (fractional coordinates):
Mg 0.0000 0.0000 0.0000  6 Cl 2.53
In 0.5000 0.0000 0.5000  6 Cl 2.56
Cl 0.0825 0.5034 0.2471  1 Mg 2.53, 1 In 2.56
Cl 0.2490 0.8328 0.7523  1 Mg 2.53, 1 In 2.56
Cl 0.4147 0.8354 0.2461  1 Mg 2.53, 1 In 2.56
Cl 0.5853 0.1646 0.7539  1 Mg 2.53, 1 In 2.56
Cl 0.7510 0.1672 0.2477  1 Mg 2.53, 1 In 2.56
Cl 0.9175 0.4966 0.7529  1 Mg 2.53, 1 In 2.56

## Properties
DFT total energy = -2.980 eV/atom

---

What calculated density values result from the calculations? In sequence: 3.21, 2.65, 4.45, 2.95 g/cm³.
What E_form (uncorrected) values result from the calculations? In sequence: -1.139, -1.605, -0.121, -1.053 eV per atom.
What total magnetic moment values result from the calculations? In sequence: 0.000, 0.000, 0.000, 1.085 μB/f.u..